Record 1
A relaxed Mg4HIr2 crystal. Source: Alexandria via LeMat-Bulk, functional PBE-GGA.

```
Mg4HIr2
1.0
4.564 -2.866 0.000
4.564 2.866 0.000
-4.158 0.000 4.549
Mg H Ir
4 1 2
Direct
0.000 0.000 0.000
0.382 0.382 0.030
0.532 0.532 0.656
0.920 0.920 0.425
0.674 0.674 0.351
0.445 0.982 0.521
0.982 0.445 0.521
```

Summary:
**Calculated volume**: 119.02 Å³/cell
**E above lowest polymorph**: 0.00 eV per formula unit
**DOS(E_F)**: 0.442 states/eV/atom

Record 2
A relaxed BaMn2Si crystal. Source: Alexandria via LeMat-Bulk, functional PBE-GGA.

```
BaMn2Si
1.0
3.601 -2.082 0.000
3.601 2.082 0.000
-2.431 0.000 5.949
Ba Mn Si
1 2 1
Direct
0.000 0.000 0.000
0.195 0.195 0.584
0.805 0.805 0.416
0.500 0.500 0.500
```

Summary:
**Formation energy without anion corrections**: 0.08 eV per atom
**Calculated volume**: 89.18 Å³/cell
**DOS(E_F)**: 1.007 states/eV/atom

Record 3
A relaxed CeNb4Se8 crystal. Source: Alexandria via LeMat-Bulk, functional PBE-GGA.

```
CeNb4Se8
1.0
6.174 -3.625 0.000
6.174 3.625 0.000
-5.707 0.000 7.075
Ce Nb Se
1 4 8
Direct
0.000 0.000 0.000
0.280 0.280 0.505
0.303 0.697 0.500
0.697 0.303 0.500
0.720 0.720 0.495
0.001 0.001 0.684
0.030 0.516 0.733
0.454 0.454 0.228
0.484 0.970 0.267
0.516 0.030 0.733
0.546 0.546 0.772
0.970 0.484 0.267
0.999 0.999 0.316
```

Summary:
**Formation energy without anion corrections**: -1.03 eV per atom
**Calculated volume**: 316.71 Å³/cell
**E above lowest polymorph**: 0.00 eV per formula unit
**DOS(E_F)**: 0.700 states/eV/atom

Record 4
A relaxed CeSc3N4 crystal. Source: Alexandria via LeMat-Bulk, functional PBE-GGA.

```
CeSc3N4
1.0
5.711 0.000 0.000
0.000 6.615 0.000
-1.902 0.000 5.380
Ce Sc N
2 6 8
Direct
0.000 0.128 0.250
0.000 0.872 0.750
0.000 0.381 0.750
0.000 0.619 0.250
0.500 0.134 0.750
0.500 0.380 0.250
0.500 0.620 0.750
0.500 0.866 0.250
0.254 0.381 0.505
0.254 0.619 0.005
0.262 0.134 0.998
0.262 0.866 0.498
0.738 0.134 0.502
0.738 0.866 0.002
0.746 0.381 0.995
0.746 0.619 0.495
```

Summary:
**Formation energy without anion corrections**: -1.74 eV per atom
**Calculated volume**: 203.27 Å³/cell
**DOS(E_F)**: 0.269 states/eV/atom

Record 5
A relaxed NaCaHg2 crystal. Source: Alexandria via LeMat-Bulk, functional PBE-GGA.

```
NaCaHg2
1.0
-1.844 2.961 6.163
1.844 -2.961 6.163
1.844 2.961 -6.163
Na Ca Hg
1 1 2
Direct
0.000 0.000 0.000
0.500 0.500 0.000
0.246 0.246 0.000
0.754 0.754 0.000
```

Summary:
**Calculated volume**: 134.59 Å³/cell
**Energy of formation from the pure elements**: 0.074 eV/atom
**DOS(E_F)**: 0.810 states/eV/atom

Record 6
A relaxed SnTe2Cl crystal. Source: Alexandria via LeMat-Bulk, functional PBE-GGA.

```
SnTe2Cl
1.0
2.153 1.243 8.898
-2.153 1.243 8.898
0.000 -2.487 8.898
Sn Te Cl
1 2 1
Direct
0.000 0.000 0.000
0.399 0.399 0.399
0.601 0.601 0.601
0.500 0.500 0.500
```

Summary:
**Formation energy without anion corrections**: -0.14 eV per atom
**Calculated volume**: 142.95 Å³/cell
**E above lowest polymorph**: 0.68 eV per formula unit
**DOS(E_F)**: 0.479 states/eV/atom

Record 7
A relaxed Tl3Cd8Bi crystal. Source: Alexandria via LeMat-Bulk, functional PBE-GGA.

```
Tl3Cd8Bi
1.0
3.087 1.783 9.576
-3.087 1.783 9.576
0.000 -3.565 9.576
Tl Cd Bi
3 8 1
Direct
0.000 0.000 0.000
0.127 0.127 0.127
0.500 0.500 0.500
0.064 0.064 0.566
0.064 0.564 0.564
0.064 0.566 0.064
0.314 0.314 0.314
0.564 0.064 0.564
0.564 0.564 0.064
0.566 0.064 0.064
0.814 0.814 0.814
0.627 0.627 0.627
```

Summary:
**Calculated volume**: 316.21 Å³/cell
**Energy of formation from the pure elements**: 0.036 eV/atom
**DOS(E_F)**: 0.327 states/eV/atom

Record 8
A relaxed La2TbF11 crystal. Source: Alexandria via LeMat-Bulk, functional PBE-GGA.

```
La2TbF11
1.0
-4.431 5.297 5.718
4.431 -5.297 5.718
4.431 5.297 -5.718
La Tb F
4 2 22
Direct
0.192 0.170 0.362
0.308 0.670 0.978
0.692 0.330 0.022
0.808 0.830 0.638
0.250 0.750 0.500
0.750 0.250 0.500
0.000 0.000 0.000
0.019 0.450 0.766
0.064 0.827 0.623
0.183 0.950 0.430
0.184 0.897 0.081
0.204 0.441 0.377
0.296 0.673 0.237
0.316 0.397 0.713
0.317 0.747 0.766
0.436 0.059 0.763
0.481 0.247 0.430
0.500 0.500 0.000
0.519 0.753 0.570
0.564 0.941 0.237
0.683 0.253 0.234
0.684 0.603 0.287
0.704 0.327 0.763
0.796 0.559 0.623
0.816 0.103 0.919
0.817 0.050 0.570
0.936 0.173 0.377
0.981 0.550 0.234
```

Summary:
**Formation energy without anion corrections**: -3.45 eV per atom
**Calculated volume**: 536.78 Å³/cell
**DOS(E_F)**: 0.869 states/eV/atom

So what do the calculations give for total magnetization? Going down the list: 0.00, 1.41, 0.04, 0.00, 0.00, 0.00, 0.00, 0.15 μB/atom.